# 1
This record from the Alexandria database describes Tl2MoSe after structural relaxation. The functional is PBE-GGA.

abc: 6.451 8.756 3.077
angles: 90.00 90.00 90.00
Atoms (fractional coordinates):
Tl 0.250 0.250 0.000
Tl 0.250 0.750 0.000
Tl 0.750 0.250 0.000
Tl 0.750 0.750 0.000
Mo 0.000 0.000 0.500
Mo 0.500 0.500 0.500
Se 0.000 0.500 0.500
Se 0.500 0.000 0.500

Results
- E (eV per atom) = -4.135
- polymorph energy (0 for the lowest one) (meV/atom) = 550.9
- symmetry = Cmmm, No. 65
- energy relative to the elements, uncorrected (kcal/mol of atoms) = 14.5

# 2
This record from the Alexandria database describes BaGaH5 after structural relaxation. The functional is PBE-GGA.

abc: 4.983 4.572 8.582
angles: 90.00 90.19 90.00
Atoms (fractional coordinates):
Ba 0.246 0.000 0.339
Ba 0.754 0.500 0.661
Ga 0.257 0.913 0.857
Ga 0.743 0.413 0.143
H 0.007 0.016 0.752
H 0.240 0.034 0.028
H 0.253 0.503 0.516
H 0.256 0.563 0.842
H 0.474 0.515 0.229
H 0.526 0.015 0.771
H 0.744 0.063 0.158
H 0.747 0.003 0.484
H 0.760 0.534 0.972
H 0.993 0.516 0.248

Results
- E (eV per atom) = -3.366
- polymorph energy (0 for the lowest one) (meV/atom) = 0.0
- symmetry = P2_1, No. 4

# 3
This record from the Alexandria database describes Nd6Sb2TePb3 after structural relaxation. The functional is PBE-GGA.

abc: 10.294 10.294 9.345
angles: 105.89 105.89 24.82
Atoms (fractional coordinates):
Nd 0.002 0.002 0.250
Nd 0.331 0.331 0.422
Nd 0.334 0.334 0.910
Nd 0.666 0.666 0.090
Nd 0.669 0.669 0.578
Nd 0.998 0.998 0.750
Sb 0.166 0.166 0.333
Sb 0.834 0.834 0.667
Te 0.500 0.500 0.000
Pb 0.166 0.166 0.834
Pb 0.500 0.500 0.500
Pb 0.834 0.834 0.166

Results
- E (eV per atom) = -5.143
- symmetry = C2/m, No. 12
- energy relative to the elements, uncorrected (kcal/mol of atoms) = -20.4

- Which of these has the highest E?
  BaGaH5

- Which of these has the lowest E?
  Nd6Sb2TePb3

- Among the records above, which one has the lowest E?
  Nd6Sb2TePb3